Record 1
The following is a DFT calculation (PBE) of LiMgTe after structural relaxation.

a = 4.6863 Å, b = 4.6863 Å, c = 4.6863 Å
α = 60.00°, β = 60.00°, γ = 60.00°
Closest atoms and distances in Å follow each position.
Sites, in units of the cell vectors:
Li (0.7500, 0.7500, 0.7500)  4 Mg 2.87, 4 Te 2.87
Mg (0.0000, 0.0000, 0.0000)  4 Li 2.87
Te (0.5000, 0.5000, 0.5000)  4 Li 2.87

E_tot = -2.67 eV per atom

Record 2
The following is a DFT calculation (PBE) of PrSm8Ho4 after structural relaxation.

a = 7.3567 Å, b = 7.3566 Å, c = 10.2126 Å
α = 90.00°, β = 111.11°, γ = 120.00°
Closest atoms and distances in Å follow each position.
Sites, in units of the cell vectors:
Pr (0.0000, 0.5000, 0.5000)  6 Sm 3.00
Sm (0.5655, 0.7828, 0.3483)  9 Sm 3.71-3.79, 3 Ho 3.87
Sm (0.4345, 0.2172, 0.6517)  9 Sm 3.71-3.79, 3 Ho 3.87
Sm (0.4980, 0.2490, 0.2988)  1 Pr 3.00, 2 Sm 3.30
Sm (0.9502, 0.1992, 0.7012)  1 Pr 3.00, 2 Sm 3.30
Sm (0.5020, 0.7510, 0.7012)  1 Pr 3.00, 2 Sm 3.30
Sm (0.9502, 0.7510, 0.7012)  1 Pr 3.00, 2 Sm 3.30
Sm (0.0498, 0.2490, 0.2988)  1 Pr 3.00, 2 Sm 3.30
Sm (0.0498, 0.8008, 0.2988)  1 Pr 3.00, 2 Sm 3.30
Ho (0.0000, 0.0000, 0.0000)  6 Sm 3.37, 6 Ho 3.68
Ho (0.0000, 0.5000, 0.0000)  6 Sm 3.57-3.87, 6 Ho 3.68
Ho (0.5000, 0.5000, 0.0000)  6 Sm 3.57-3.87, 6 Ho 3.68
Ho (0.5000, 0.0000, 0.0000)  6 Sm 3.57-3.87, 6 Ho 3.68

Calculated formation energy = 0.182 eV per atom